[1]
# ScAl2V

A geometry-optimized ScAl2V structure (GGA-PBE, Alexandria).

a = 10.2176 Å, b = 10.2176 Å, c = 10.2176 Å
α = 157.59°, β = 157.59°, γ = 31.91°
Closest atoms and distances in Å follow each position.
Fractional coordinates of all 8 atoms:
Sc (0.0000, 0.0000, 0.0000)  4 V 2.81, 4 Al 2.85
Sc (0.7500, 0.2500, 0.5000)  4 V 2.81, 4 Al 2.85
Al (0.1419, 0.6250, 0.0169)  4 Al 2.71-2.91, 2 V 2.81, 2 Sc 2.85
Al (0.3750, 0.3919, 0.5169)  4 Al 2.71-2.91, 2 V 2.81, 2 Sc 2.85
Al (0.6081, 0.1250, 0.9831)  4 Al 2.71-2.91, 2 V 2.81, 2 Sc 2.85
Al (0.8750, 0.8581, 0.4831)  4 Al 2.71-2.91, 2 V 2.81, 2 Sc 2.85
V (0.2500, 0.7500, 0.5000)  4 Al 2.81, 4 Sc 2.81
V (0.5000, 0.5000, 0.0000)  4 Al 2.81, 4 Sc 2.81

Values from the calculation:
space-group type	I-42d (122)
energy relative to the lowest polymorph listed for this composition	578	meV/atom
energy relative to the elements	356	meV/atom


[2]
# ScAl2V

A geometry-optimized ScAl2V structure (GGA-PBE, Alexandria).

a = 3.3015 Å, b = 3.3015 Å, c = 6.1586 Å
α = 90.00°, β = 90.00°, γ = 90.00°
Closest atoms and distances in Å follow each position.
Fractional coordinates of all 4 atoms:
Sc (0.0000, 0.0000, 0.0000)  8 Al 2.93, 2 V 3.08
Al (0.5000, 0.5000, 0.2883)  1 Al 2.61, 4 V 2.67
Al (0.5000, 0.5000, 0.7117)  1 Al 2.61, 4 V 2.67
V (0.0000, 0.0000, 0.5000)  8 Al 2.67

Values from the calculation:
space-group type	P4/mmm (123)
energy relative to the lowest polymorph listed for this composition	0	meV/atom
energy relative to the elements	-222	meV/atom


[3]
# Sc2AlW

A geometry-optimized Sc2AlW structure (GGA-PBE, Alexandria).

a = 5.0592 Å, b = 5.0592 Å, c = 5.3070 Å
α = 98.32°, β = 98.32°, γ = 33.89°
Closest atoms and distances in Å follow each position.
Fractional coordinates of all 4 atoms:
Sc (0.2476, 0.2476, 0.2505)  3 W 2.91-2.99, 6 Sc 2.95-3.05, 3 Al 2.95
Sc (0.7524, 0.7524, 0.7495)  3 W 2.91-2.99, 6 Sc 2.95-3.05, 3 Al 2.95
Al (0.5000, 0.5000, 0.0000)  2 Al 2.95, 6 Sc 2.95, 4 W 3.04
W (0.0000, 0.0000, 0.5000)  6 Sc 2.91-2.99, 2 W 2.95, 4 Al 3.04

Values from the calculation:
space-group type	C2/m (12)
energy relative to the elements	107	meV/atom


[4]
# Sc2AlW

A geometry-optimized Sc2AlW structure (GGA-PBE, Alexandria).

a = 4.7034 Å, b = 4.7034 Å, c = 4.7034 Å
α = 60.00°, β = 60.00°, γ = 60.00°
Closest atoms and distances in Å follow each position.
Fractional coordinates of all 4 atoms:
Sc (0.0000, 0.0000, 0.0000)  4 W 2.88, 4 Sc 2.88
Sc (0.2500, 0.2500, 0.2500)  4 Al 2.88, 4 Sc 2.88
Al (0.5000, 0.5000, 0.5000)  4 W 2.88, 4 Sc 2.88
W (0.7500, 0.7500, 0.7500)  4 Sc 2.88, 4 Al 2.88

Values from the calculation:
space-group type	F-43m (216)
energy relative to the elements	101	meV/atom


[5]
# Sc2AlW

A geometry-optimized Sc2AlW structure (GGA-PBE, Alexandria).

a = 5.1925 Å, b = 5.1925 Å, c = 5.1925 Å
α = 132.59°, β = 132.59°, γ = 69.30°
Closest atoms and distances in Å follow each position.
Fractional coordinates of all 4 atoms:
Sc (0.0000, 0.0000, 0.0000)  4 Al 2.95, 4 Sc 2.99, 4 W 2.99
Sc (0.7500, 0.2500, 0.5000)  4 W 2.95, 4 Al 2.99, 4 Sc 2.99
Al (0.5000, 0.5000, 0.0000)  8 Sc 2.95-2.99, 4 W 2.99
W (0.2500, 0.7500, 0.5000)  8 Sc 2.95-2.99, 4 Al 2.99

Values from the calculation:
space-group type	I-4m2 (119)
energy relative to the elements	-16	meV/atom


[6]
# Sc4AlW

A geometry-optimized Sc4AlW structure (GGA-PBE, Alexandria).

a = 5.5556 Å, b = 5.5556 Å, c = 5.5556 Å
α = 60.00°, β = 60.00°, γ = 60.00°
Closest atoms and distances in Å follow each position.
Fractional coordinates of all 6 atoms:
Sc (0.1231, 0.1231, 0.1231)  6 Sc 2.73-2.82
Sc (0.1231, 0.1231, 0.6308)  6 Sc 2.73-2.82
Sc (0.1231, 0.6308, 0.1231)  6 Sc 2.73-2.82
Sc (0.6308, 0.1231, 0.1231)  6 Sc 2.73-2.82
Al (0.5000, 0.5000, 0.5000)  12 Sc 3.26, 4 W 3.40
W (0.7500, 0.7500, 0.7500)  12 Sc 3.25, 4 Al 3.40

Values from the calculation:
space-group type	F-43m (216)
energy relative to the elements	509	meV/atom


[7]
# Sc2AlW

A geometry-optimized Sc2AlW structure (GGA-PBE, Alexandria).

a = 9.7586 Å, b = 9.7586 Å, c = 9.7586 Å
α = 17.98°, β = 17.98°, γ = 17.98°
Closest atoms and distances in Å follow each position.
Fractional coordinates of all 4 atoms:
Sc (0.2478, 0.2478, 0.2478)  3 W 2.92, 3 Al 3.03, 6 Sc 3.05
Sc (0.7522, 0.7522, 0.7522)  3 W 2.92, 3 Al 3.03, 6 Sc 3.05
Al (0.0000, 0.0000, 0.0000)  6 Sc 3.03, 6 Al 3.05
W (0.5000, 0.5000, 0.5000)  6 Sc 2.92, 6 W 3.05

Values from the calculation:
space-group type	R-3m (166)
energy relative to the elements	102	meV/atom


[8]
# Sc2AlW

A geometry-optimized Sc2AlW structure (GGA-PBE, Alexandria).

a = 5.3601 Å, b = 5.3601 Å, c = 5.1575 Å
α = 101.79°, β = 101.79°, γ = 31.86°
Closest atoms and distances in Å follow each position.
Fractional coordinates of all 4 atoms:
Sc (0.0000, 0.0000, 0.0000)  4 W 2.93-3.05, 3 Sc 2.94-3.01, 3 Al 2.97
Sc (0.2134, 0.2134, 0.6817)  3 Sc 2.94-3.01, 4 Al 2.96-3.03, 3 W 2.97-2.99
Al (0.7516, 0.7516, 0.2054)  2 W 2.74, 2 Al 2.94, 7 Sc 2.96-3.03
W (0.4624, 0.4624, 0.4702)  2 Al 2.74, 7 Sc 2.93-3.05, 2 W 2.94

Values from the calculation:
space-group type	Cm (8)
energy relative to the elements	3	meV/atom


[9]
# ScAl4W

A geometry-optimized ScAl4W structure (GGA-PBE, Alexandria).

a = 7.1837 Å, b = 7.1837 Å, c = 5.8791 Å
α = 112.50°, β = 112.50°, γ = 52.94°
Closest atoms and distances in Å follow each position.
Fractional coordinates of all 12 atoms:
Sc (0.2143, 0.2143, 0.3614)  1 W 2.93, 7 Al 2.93-3.03
Sc (0.7857, 0.7857, 0.6386)  1 W 2.93, 7 Al 2.93-3.03
Al (0.0882, 0.6772, 0.3074)  5 Al 2.63-2.90, 2 W 2.72-2.73
Al (0.1933, 0.8067, 0.0000)  1 Al 2.48, 2 W 2.62
Al (0.3228, 0.9118, 0.6926)  5 Al 2.63-2.90, 2 W 2.72-2.73
Al (0.3248, 0.3248, 0.9126)  2 W 2.67-2.76, 6 Al 2.75-2.87, 1 Sc 2.93
Al (0.6752, 0.6752, 0.0874)  2 W 2.67-2.76, 6 Al 2.75-2.87, 1 Sc 2.93
Al (0.6772, 0.0882, 0.3074)  5 Al 2.63-2.90, 2 W 2.72-2.73
Al (0.8067, 0.1933, 0.0000)  1 Al 2.48, 2 W 2.62
Al (0.9118, 0.3228, 0.6926)  5 Al 2.63-2.90, 2 W 2.72-2.73
W (0.4624, 0.4624, 0.6787)  8 Al 2.62-2.76, 1 W 2.66, 1 Sc 2.93
W (0.5376, 0.5376, 0.3213)  8 Al 2.62-2.76, 1 W 2.66, 1 Sc 2.93

Values from the calculation:
space-group type	C2/m (12)
energy relative to the lowest polymorph listed for this composition	108	meV/atom
energy relative to the elements	-75	meV/atom


[10]
# ScAl3W

A geometry-optimized ScAl3W structure (GGA-PBE, Alexandria).

a = 4.8103 Å, b = 4.8103 Å, c = 4.8103 Å
α = 90.00°, β = 90.00°, γ = 90.00°
Closest atoms and distances in Å follow each position.
Fractional coordinates of all 5 atoms:
Sc (0.0000, 0.0000, 0.0000)  12 Al 3.40
Al (0.0000, 0.5000, 0.5000)  2 W 2.41
Al (0.5000, 0.0000, 0.5000)  2 W 2.41
Al (0.5000, 0.5000, 0.0000)  2 W 2.41
W (0.5000, 0.5000, 0.5000)  6 Al 2.41

Values from the calculation:
space-group type	Pm-3m (221)
energy relative to the lowest polymorph listed for this composition	0	meV/atom
energy relative to the elements	394	meV/atom


[11]
# Sc2AlW

A geometry-optimized Sc2AlW structure (GGA-PBE, Alexandria).

a = 3.0443 Å, b = 3.7883 Å, c = 6.5706 Å
α = 90.00°, β = 90.00°, γ = 90.00°
Closest atoms and distances in Å follow each position.
Fractional coordinates of all 4 atoms:
Sc (0.0000, 0.0000, 0.2443)  4 W 2.91, 4 Al 2.95, 3 Sc 3.04-3.21
Sc (0.0000, 0.0000, 0.7557)  4 W 2.91, 4 Al 2.95, 3 Sc 3.04-3.21
Al (0.5000, 0.5000, 0.5000)  8 Sc 2.95, 2 Al 3.04, 2 W 3.29
W (0.5000, 0.5000, 0.0000)  8 Sc 2.91, 2 W 3.04

Values from the calculation:
space-group type	Pmmm (47)
energy relative to the elements	-28	meV/atom


[12]
# Sc2AlW

A geometry-optimized Sc2AlW structure (GGA-PBE, Alexandria).

a = 5.2891 Å, b = 5.2891 Å, c = 2.8758 Å
α = 90.00°, β = 90.00°, γ = 111.05°
Closest atoms and distances in Å follow each position.
Fractional coordinates of all 4 atoms:
Sc (0.0000, 0.5000, 0.0000)  4 Sc 2.88-2.99, 4 W 3.01, 4 Al 3.01
Sc (0.5000, 0.0000, 0.0000)  4 Sc 2.88-2.99, 4 Al 3.01, 4 W 3.01
Al (0.0000, 0.0000, 0.5000)  2 Al 2.88, 2 W 2.99, 8 Sc 3.01
W (0.5000, 0.5000, 0.5000)  2 W 2.88, 2 Al 2.99, 8 Sc 3.01

Values from the calculation:
space-group type	Cmmm (65)
energy relative to the elements	31	meV/atom